Density functional theory data (GGA-PBE) for LiAcHg2 after structural relaxation.

- final energy (eV per atom) = -2.0103
- energy of formation (eV per atom) = -0.35
- energy above the most stable polymorph in this dataset (meV/atom) = 65.5

Cell: 3.7099 3.7099 7.6027 Å, 90.00 90.00 90.00°
Atoms (fractional coordinates):
Li 0.0000 0.0000 0.0000
Ac 0.0000 0.0000 0.5000
Hg 0.5000 0.5000 0.2011
Hg 0.5000 0.5000 0.7989